(1)
Here is a geometry-optimized LaY2In2 structure from the Alexandria database. Energies are from PBEsol.

**Volume**: 283.4 Å³ per cell
**VASP energy**: -5.4161 eV per atom
**Formation energy from the elements**: -425 meV per atom

Cell: 8.761 8.761 3.692 Å, 90.00 90.00 90.00°
Space group P4/mbm (No. 127)
Asymmetric unit:
1 La 0.000 0.000 0.000 (multiplicity 2)
2 Y 0.175 0.325 0.500 (multiplicity 4)
3 In 0.122 0.622 0.000 (multiplicity 4)



(2)
Here is a geometry-optimized BeHgAu2 structure from the Alexandria database. Energies are from PBEsol.

**Relative energy among the computed polymorphs**: 8.0 kJ/mol of atoms
**Volume**: 133.6 Å³ per cell
**VASP energy**: -3.1071 eV per atom
**Formation energy from the elements**: -3 meV per atom

Cell: 2.843 3.616 12.998 Å, 90.00 90.00 90.00°
Space group Amm2 (No. 38)
Asymmetric unit:
1 Be 0.000 0.000 0.000 (multiplicity 2)
2 Hg 0.500 0.000 0.839 (multiplicity 2)
3 Au 0.000 0.000 0.193 (multiplicity 2)
4 Au 0.500 0.000 0.554 (multiplicity 2)



(3)
Here is a geometry-optimized PbWN3 structure from the Alexandria database. Energies are from PBEsol.

**Volume**: 64.7 Å³ per cell
**VASP energy**: -8.5418 eV per atom

Cell: 4.014 4.014 4.014 Å, 90.00 90.00 90.00°
Space group Pm-3m (No. 221)
Asymmetric unit:
1 Pb 0.000 0.000 0.000 (multiplicity 1)
2 W 0.500 0.500 0.500 (multiplicity 1)
3 N 0.000 0.500 0.500 (multiplicity 3)



(4)
Here is a geometry-optimized CaLa4Mn structure from the Alexandria database. Energies are from PBEsol.

**Volume**: 796.9 Å³ per cell
**VASP energy**: -4.9805 eV per atom
**Formation energy from the elements**: 566 meV per atom

Cell: 9.271 9.271 9.271 Å, 90.00 90.00 90.00°
Space group F-43m (No. 216)
Asymmetric unit:
1 Ca 0.000 0.000 0.000 (multiplicity 4)
2 La 0.121 0.121 0.621 (multiplicity 16)
3 Mn 0.250 0.250 0.250 (multiplicity 4)



(5)
Here is a geometry-optimized MgCrNi2 structure from the Alexandria database. Energies are from PBEsol.

**Volume**: 144.9 Å³ per cell
**VASP energy**: -5.7633 eV per atom
**Formation energy from the elements**: 305 meV per atom

Cell: 2.5836 2.5836 25.0723 Å, 90.00 90.00 120.00°
Space group R3m (No. 160, hexagonal axes)
Asymmetric unit:
1 Mg 0.0000 0.0000 0.0000 (multiplicity 3)
2 Cr 0.0000 0.0000 0.2393 (multiplicity 3)
3 Ni 0.0000 0.0000 0.4969 (multiplicity 3)
4 Ni 0.0000 0.0000 0.7511 (multiplicity 3)



(6)
Here is a geometry-optimized Cr2CoP structure from the Alexandria database. Energies are from PBEsol.

**Volume**: 87.1 Å³ per cell
**VASP energy**: -8.4860 eV per atom
**Formation energy from the elements**: 17 meV per atom

Cell: 3.117 3.985 7.007 Å, 90.00 90.00 90.00°
Space group Cmm2 (No. 35)
Asymmetric unit:
1 Cr 0.000 0.000 0.000 (multiplicity 2)
2 Cr 0.000 0.500 0.266 (multiplicity 2)
3 Co 0.000 0.500 0.730 (multiplicity 2)
4 P 0.000 0.000 0.514 (multiplicity 2)